## 1
# NiHg2Os

An optimized crystal structure of NiHg2Os (PBE, the Alexandria database). Values from VASP.

```
&SYSTEM
  ibrav = 0, nat = 4, ntyp = 3
/
ATOMIC_SPECIES
Ni 58.69 Ni.upf
Hg 200.59 Hg.upf
Os 190.23 Os.upf
ATOMIC_POSITIONS crystal
Ni 0.000 0.000 0.000
Hg 0.500 0.500 0.241
Hg 0.500 0.500 0.759
Os 0.000 0.000 0.500
CELL_PARAMETERS angstrom
2.836 0.000 0.000
0.000 3.962 0.000
0.000 0.000 5.961
```

## Properties
D(E_F) = 1.26 states/eV/atom

## 2
# NiHg2Os

An optimized crystal structure of NiHg2Os (PBE, the Alexandria database). Values from VASP.

```
&SYSTEM
  ibrav = 0, nat = 4, ntyp = 3
/
ATOMIC_SPECIES
Ni 58.69 Ni.upf
Hg 200.59 Hg.upf
Os 190.23 Os.upf
ATOMIC_POSITIONS crystal
Ni 0.000 0.000 0.000
Hg 0.000 0.000 0.537
Hg 0.500 0.500 0.234
Os 0.500 0.500 0.800
CELL_PARAMETERS angstrom
1.434 -2.482 0.000
1.434 2.482 0.000
0.000 0.000 9.920
```

## Properties
D(E_F) = 0.82 states/eV/atom

Sorted by energy, starting with the most stable: 2, 1.

## 1
# NiHg3Os

An optimized crystal structure of NiHg3Os (PBE, the Alexandria database). Values from VASP.

```
&SYSTEM
  ibrav = 0, nat = 5, ntyp = 3
/
ATOMIC_SPECIES
Ni 58.69 Ni.upf
Hg 200.59 Hg.upf
Os 190.23 Os.upf
ATOMIC_POSITIONS crystal
Ni 0.000 0.000 0.000
Hg 0.000 0.500 0.500
Hg 0.500 0.000 0.500
Hg 0.500 0.500 0.000
Os 0.500 0.500 0.500
CELL_PARAMETERS angstrom
5.229 0.000 0.000
0.000 5.229 0.000
0.000 0.000 5.229
```

## Properties
D(E_F) = 1.44 states/eV/atom

## 2
# NiHg3Os

An optimized crystal structure of NiHg3Os (PBE, the Alexandria database). Values from VASP.

```
&SYSTEM
  ibrav = 0, nat = 5, ntyp = 3
/
ATOMIC_SPECIES
Ni 58.69 Ni.upf
Hg 200.59 Hg.upf
Os 190.23 Os.upf
ATOMIC_POSITIONS crystal
Ni 0.000 0.000 0.000
Hg 0.000 0.000 0.500
Hg 0.000 0.500 0.000
Hg 0.500 0.000 0.000
Os 0.500 0.500 0.500
CELL_PARAMETERS angstrom
4.875 0.000 0.000
0.000 4.875 0.000
0.000 0.000 4.875
```

## Properties
D(E_F) = 0.91 states/eV/atom

Sorted by energy, starting with the most stable: 2, 1.

## 1
# Ni3HgP

An optimized crystal structure of Ni3HgP (PBE, the Alexandria database). Values from VASP.

```
&SYSTEM
  ibrav = 0, nat = 5, ntyp = 3
/
ATOMIC_SPECIES
Ni 58.69 Ni.upf
Hg 200.59 Hg.upf
P 30.97 P.upf
ATOMIC_POSITIONS crystal
Ni 0.000 0.000 0.500
Ni 0.000 0.500 0.000
Ni 0.500 0.000 0.000
Hg 0.500 0.500 0.500
P 0.000 0.000 0.000
CELL_PARAMETERS angstrom
4.203 0.000 0.000
0.000 4.203 0.000
0.000 0.000 4.203
```

## Properties
D(E_F) = 0.67 states/eV/atom

## 2
# Ni3HgP

An optimized crystal structure of Ni3HgP (PBE, the Alexandria database). Values from VASP.

```
&SYSTEM
  ibrav = 0, nat = 5, ntyp = 3
/
ATOMIC_SPECIES
Ni 58.69 Ni.upf
Hg 200.59 Hg.upf
P 30.97 P.upf
ATOMIC_POSITIONS crystal
Ni 0.000 0.000 0.500
Ni 0.000 0.500 0.000
Ni 0.500 0.000 0.000
Hg 0.000 0.000 0.000
P 0.500 0.500 0.500
CELL_PARAMETERS angstrom
4.686 0.000 0.000
0.000 4.686 0.000
0.000 0.000 4.686
```

## Properties
D(E_F) = 1.63 states/eV/atom

Sorted by energy, starting with the most stable: 1, 2.

## 1
# NiHgP

An optimized crystal structure of NiHgP (PBE, the Alexandria database). Values from VASP.

```
&SYSTEM
  ibrav = 0, nat = 3, ntyp = 3
/
ATOMIC_SPECIES
Ni 58.69 Ni.upf
Hg 200.59 Hg.upf
P 30.97 P.upf
ATOMIC_POSITIONS crystal
Ni 0.000 0.000 0.000
Hg 0.667 0.333 0.500
P 0.333 0.667 0.000
CELL_PARAMETERS angstrom
3.812 0.000 0.000
-1.906 3.301 0.000
0.000 0.000 4.075
```

## Properties
D(E_F) = 0.72 states/eV/atom

## 2
# NiHgP

An optimized crystal structure of NiHgP (PBE, the Alexandria database). Values from VASP.

```
&SYSTEM
  ibrav = 0, nat = 3, ntyp = 3
/
ATOMIC_SPECIES
Ni 58.69 Ni.upf
Hg 200.59 Hg.upf
P 30.97 P.upf
ATOMIC_POSITIONS crystal
Ni 0.000 0.000 0.000
Hg 0.681 0.681 0.000
P 0.418 0.418 0.000
CELL_PARAMETERS angstrom
-1.431 1.431 6.553
1.431 -1.431 6.553
1.431 1.431 -6.553
```

## Properties
D(E_F) = 0.55 states/eV/atom

## 3
# NiHgP

An optimized crystal structure of NiHgP (PBE, the Alexandria database). Values from VASP.

```
&SYSTEM
  ibrav = 0, nat = 3, ntyp = 3
/
ATOMIC_SPECIES
Ni 58.69 Ni.upf
Hg 200.59 Hg.upf
P 30.97 P.upf
ATOMIC_POSITIONS crystal
Ni 0.000 0.000 0.000
Hg 0.667 0.333 0.636
P 0.333 0.667 0.213
CELL_PARAMETERS angstrom
3.145 0.000 0.000
-1.573 2.724 0.000
0.000 0.000 5.937
```

## Properties
D(E_F) = 0.40 states/eV/atom

## 4
# NiHgP

An optimized crystal structure of NiHgP (PBE, the Alexandria database). Values from VASP.

```
&SYSTEM
  ibrav = 0, nat = 3, ntyp = 3
/
ATOMIC_SPECIES
Ni 58.69 Ni.upf
Hg 200.59 Hg.upf
P 30.97 P.upf
ATOMIC_POSITIONS crystal
Ni 0.000 0.000 0.000
Hg 0.250 0.250 0.250
P 0.750 0.750 0.750
CELL_PARAMETERS angstrom
0.000 2.958 2.958
2.958 0.000 2.958
2.958 2.958 0.000
```

## Properties
D(E_F) = 0.76 states/eV/atom

Sorted by energy, starting with the most stable: 3, 2, 1, 4.

## 1
# NiHg3P

An optimized crystal structure of NiHg3P (PBE, the Alexandria database). Values from VASP.

```
&SYSTEM
  ibrav = 0, nat = 5, ntyp = 3
/
ATOMIC_SPECIES
Ni 58.69 Ni.upf
Hg 200.59 Hg.upf
P 30.97 P.upf
ATOMIC_POSITIONS crystal
Ni 0.000 0.000 0.000
Hg 0.000 0.000 0.500
Hg 0.000 0.500 0.000
Hg 0.500 0.000 0.000
P 0.500 0.500 0.500
CELL_PARAMETERS angstrom
4.944 0.000 0.000
0.000 4.944 0.000
0.000 0.000 4.944
```

## Properties
D(E_F) = 0.63 states/eV/atom

## 2
# NiHg3P

An optimized crystal structure of NiHg3P (PBE, the Alexandria database). Values from VASP.

```
&SYSTEM
  ibrav = 0, nat = 5, ntyp = 3
/
ATOMIC_SPECIES
Ni 58.69 Ni.upf
Hg 200.59 Hg.upf
P 30.97 P.upf
ATOMIC_POSITIONS crystal
Ni 0.000 0.000 0.000
Hg 0.000 0.500 0.500
Hg 0.500 0.000 0.500
Hg 0.500 0.500 0.000
P 0.500 0.500 0.500
CELL_PARAMETERS angstrom
5.138 0.000 0.000
0.000 5.138 0.000
0.000 0.000 5.138
```

## Properties
D(E_F) = 1.36 states/eV/atom

Sorted by energy, starting with the most stable: 1, 2.

## 1
# Pa2NiHg

An optimized crystal structure of Pa2NiHg (PBE, the Alexandria database). Values from VASP.

```
&SYSTEM
  ibrav = 0, nat = 4, ntyp = 3
/
ATOMIC_SPECIES
Pa 231.04 Pa.upf
Ni 58.69 Ni.upf
Hg 200.59 Hg.upf
ATOMIC_POSITIONS crystal
Pa 0.104 0.104 0.104
Pa 0.896 0.896 0.896
Ni 0.500 0.500 0.500
Hg 0.000 0.000 0.000
CELL_PARAMETERS angstrom
1.627 0.939 10.536
-1.627 0.939 10.536
0.000 -1.879 10.536
```

## Properties
D(E_F) = 1.54 states/eV/atom

## 2
# Pa2NiHg

An optimized crystal structure of Pa2NiHg (PBE, the Alexandria database). Values from VASP.

```
&SYSTEM
  ibrav = 0, nat = 4, ntyp = 3
/
ATOMIC_SPECIES
Pa 231.04 Pa.upf
Ni 58.69 Ni.upf
Hg 200.59 Hg.upf
ATOMIC_POSITIONS crystal
Pa 0.000 0.000 0.213
Pa 0.000 0.000 0.787
Ni 0.500 0.500 0.000
Hg 0.500 0.500 0.500
CELL_PARAMETERS angstrom
3.139 0.000 0.000
0.000 3.139 0.000
0.000 0.000 8.589
```

## Properties
D(E_F) = 1.61 states/eV/atom

Sorted by energy, starting with the most stable: 2, 1.

## 1
# Ni2HgPb2

An optimized crystal structure of Ni2HgPb2 (PBE, the Alexandria database). Values from VASP.

```
&SYSTEM
  ibrav = 0, nat = 10, ntyp = 3
/
ATOMIC_SPECIES
Ni 58.69 Ni.upf
Hg 200.59 Hg.upf
Pb 207.20 Pb.upf
ATOMIC_POSITIONS crystal
Ni 0.116 0.384 0.000
Ni 0.384 0.884 0.000
Ni 0.616 0.116 0.000
Ni 0.884 0.616 0.000
Hg 0.000 0.000 0.500
Hg 0.500 0.500 0.500
Pb 0.166 0.666 0.500
Pb 0.334 0.166 0.500
Pb 0.666 0.834 0.500
Pb 0.834 0.334 0.500
CELL_PARAMETERS angstrom
8.123 0.000 0.000
0.000 8.123 0.000
0.000 0.000 3.167
```

## Properties
D(E_F) = 0.72 states/eV/atom

## 2
# Ni2HgPb2

An optimized crystal structure of Ni2HgPb2 (PBE, the Alexandria database). Values from VASP.

```
&SYSTEM
  ibrav = 0, nat = 5, ntyp = 3
/
ATOMIC_SPECIES
Ni 58.69 Ni.upf
Hg 200.59 Hg.upf
Pb 207.20 Pb.upf
ATOMIC_POSITIONS crystal
Ni 0.153 0.153 0.000
Ni 0.847 0.847 0.000
Hg 0.500 0.500 0.000
Pb 0.250 0.750 0.500
Pb 0.750 0.250 0.500
CELL_PARAMETERS angstrom
-2.656 2.656 3.854
2.656 -2.656 3.854
2.656 2.656 -3.854
```

## Properties
D(E_F) = 0.65 states/eV/atom

Sorted by energy, starting with the most stable: 2, 1.

## 1
# NiHgPb3

An optimized crystal structure of NiHgPb3 (PBE, the Alexandria database). Values from VASP.

```
&SYSTEM
  ibrav = 0, nat = 10, ntyp = 3
/
ATOMIC_SPECIES
Ni 58.69 Ni.upf
Hg 200.59 Hg.upf
Pb 207.20 Pb.upf
ATOMIC_POSITIONS crystal
Ni 0.079 0.250 0.092
Ni 0.921 0.750 0.908
Hg 0.339 0.750 0.727
Hg 0.661 0.250 0.273
Pb 0.027 0.250 0.741
Pb 0.291 0.750 0.081
Pb 0.325 0.250 0.428
Pb 0.675 0.750 0.572
Pb 0.709 0.250 0.919
Pb 0.973 0.750 0.259
CELL_PARAMETERS angstrom
8.300 0.000 0.000
0.000 4.265 0.000
-3.289 0.000 7.628
```

## Properties
D(E_F) = 0.43 states/eV/atom

## 2
# NiHgPb3

An optimized crystal structure of NiHgPb3 (PBE, the Alexandria database). Values from VASP.

```
&SYSTEM
  ibrav = 0, nat = 5, ntyp = 3
/
ATOMIC_SPECIES
Ni 58.69 Ni.upf
Hg 200.59 Hg.upf
Pb 207.20 Pb.upf
ATOMIC_POSITIONS crystal
Ni 0.000 0.000 0.000
Hg 0.500 0.500 0.500
Pb 0.000 0.500 0.500
Pb 0.500 0.000 0.500
Pb 0.500 0.500 0.000
CELL_PARAMETERS angstrom
5.701 0.000 0.000
0.000 5.701 0.000
0.000 0.000 5.701
```

## Properties
D(E_F) = 2.00 states/eV/atom

Sorted by energy, starting with the most stable: 1, 2.

## 1
# Ni2Hg2Pb

An optimized crystal structure of Ni2Hg2Pb (PBE, the Alexandria database). Values from VASP.

```
&SYSTEM
  ibrav = 0, nat = 5, ntyp = 3
/
ATOMIC_SPECIES
Ni 58.69 Ni.upf
Hg 200.59 Hg.upf
Pb 207.20 Pb.upf
ATOMIC_POSITIONS crystal
Ni 0.250 0.750 0.500
Ni 0.750 0.250 0.500
Hg 0.132 0.132 0.000
Hg 0.868 0.868 0.000
Pb 0.500 0.500 0.000
CELL_PARAMETERS angstrom
-1.711 1.711 8.894
1.711 -1.711 8.894
1.711 1.711 -8.894
```

## Properties
D(E_F) = 0.96 states/eV/atom

## 2
# Ni2Hg2Pb

An optimized crystal structure of Ni2Hg2Pb (PBE, the Alexandria database). Values from VASP.

```
&SYSTEM
  ibrav = 0, nat = 10, ntyp = 3
/
ATOMIC_SPECIES
Ni 58.69 Ni.upf
Hg 200.59 Hg.upf
Pb 207.20 Pb.upf
ATOMIC_POSITIONS crystal
Ni 0.136 0.364 0.000
Ni 0.364 0.864 0.000
Ni 0.636 0.136 0.000
Ni 0.864 0.636 0.000
Hg 0.156 0.656 0.500
Hg 0.344 0.156 0.500
Hg 0.656 0.844 0.500
Hg 0.844 0.344 0.500
Pb 0.000 0.000 0.000
Pb 0.500 0.500 0.000
CELL_PARAMETERS angstrom
7.139 0.000 0.000
0.000 7.139 0.000
0.000 0.000 3.632
```

## Properties
D(E_F) = 0.50 states/eV/atom

Sorted by energy, starting with the most stable: 2, 1.

## 1
# TlNiHg2Pb

An optimized crystal structure of TlNiHg2Pb (PBE, the Alexandria database). Values from VASP.

```
&SYSTEM
  ibrav = 0, nat = 5, ntyp = 4
/
ATOMIC_SPECIES
Tl 204.38 Tl.upf
Ni 58.69 Ni.upf
Hg 200.59 Hg.upf
Pb 207.20 Pb.upf
ATOMIC_POSITIONS crystal
Tl 0.000 0.000 0.000
Ni 0.500 0.500 0.500
Hg 0.000 0.500 0.500
Hg 0.500 0.000 0.500
Pb 0.500 0.500 0.000
CELL_PARAMETERS angstrom
5.158 0.000 0.000
0.000 5.158 0.000
0.000 0.000 5.040
```

## Properties
D(E_F) = 0.44 states/eV/atom

## 2
# TlNiHg2Pb

An optimized crystal structure of TlNiHg2Pb (PBE, the Alexandria database). Values from VASP.

```
&SYSTEM
  ibrav = 0, nat = 5, ntyp = 4
/
ATOMIC_SPECIES
Tl 204.38 Tl.upf
Ni 58.69 Ni.upf
Hg 200.59 Hg.upf
Pb 207.20 Pb.upf
ATOMIC_POSITIONS crystal
Tl 0.000 0.000 0.000
Ni 0.000 0.000 0.500
Hg 0.000 0.500 0.500
Hg 0.500 0.000 0.500
Pb 0.500 0.500 0.000
CELL_PARAMETERS angstrom
5.100 0.000 0.000
0.000 5.100 0.000
0.000 0.000 5.014
```

## Properties
D(E_F) = 0.48 states/eV/atom

Sorted by energy, starting with the most stable: 1, 2.

## 1
# NiHg2Pd

An optimized crystal structure of NiHg2Pd (PBE, the Alexandria database). Values from VASP.

```
&SYSTEM
  ibrav = 0, nat = 8, ntyp = 3
/
ATOMIC_SPECIES
Ni 58.69 Ni.upf
Hg 200.59 Hg.upf
Pd 106.42 Pd.upf
ATOMIC_POSITIONS crystal
Ni 0.000 0.000 0.000
Ni 0.750 0.250 0.500
Hg 0.104 0.625 0.979
Hg 0.375 0.354 0.479
Hg 0.646 0.125 0.021
Hg 0.875 0.896 0.521
Pd 0.250 0.750 0.500
Pd 0.500 0.500 0.000
CELL_PARAMETERS angstrom
-3.647 3.647 2.832
3.647 -3.647 2.832
3.647 3.647 -2.832
```

## Properties
D(E_F) = 0.46 states/eV/atom

## 2
# NiHg2Pd

An optimized crystal structure of NiHg2Pd (PBE, the Alexandria database). Values from VASP.

```
&SYSTEM
  ibrav = 0, nat = 4, ntyp = 3
/
ATOMIC_SPECIES
Ni 58.69 Ni.upf
Hg 200.59 Hg.upf
Pd 106.42 Pd.upf
ATOMIC_POSITIONS crystal
Ni 0.000 0.000 0.000
Hg 0.087 0.087 0.087
Hg 0.913 0.913 0.913
Pd 0.500 0.500 0.500
CELL_PARAMETERS angstrom
1.488 0.859 9.828
-1.488 0.859 9.828
0.000 -1.718 9.828
```

## Properties
D(E_F) = 1.05 states/eV/atom

Sorted by energy, starting with the most stable: 1, 2.

## 1
# NiHg2Pd

An optimized crystal structure of NiHg2Pd (PBE, the Alexandria database). Values from VASP.

```
&SYSTEM
  ibrav = 0, nat = 4, ntyp = 3
/
ATOMIC_SPECIES
Ni 58.69 Ni.upf
Hg 200.59 Hg.upf
Pd 106.42 Pd.upf
ATOMIC_POSITIONS crystal
Ni 0.000 0.000 0.000
Hg 0.000 0.500 0.500
Hg 0.500 0.000 0.500
Pd 0.500 0.500 0.000
CELL_PARAMETERS angstrom
4.315 0.000 0.000
0.000 4.315 0.000
0.000 0.000 3.677
```

## Properties
D(E_F) = 0.30 states/eV/atom

## 2
# NiHg2Pd

An optimized crystal structure of NiHg2Pd (PBE, the Alexandria database). Values from VASP.

```
&SYSTEM
  ibrav = 0, nat = 4, ntyp = 3
/
ATOMIC_SPECIES
Ni 58.69 Ni.upf
Hg 200.59 Hg.upf
Pd 106.42 Pd.upf
ATOMIC_POSITIONS crystal
Ni 0.000 0.000 0.000
Hg 0.500 0.500 0.234
Hg 0.500 0.500 0.766
Pd 0.000 0.000 0.500
CELL_PARAMETERS angstrom
3.116 0.000 0.000
0.000 3.116 0.000
0.000 0.000 7.001
```

## Properties
D(E_F) = 0.71 states/eV/atom

## 3
# NiHg2Pd

An optimized crystal structure of NiHg2Pd (PBE, the Alexandria database). Values from VASP.

```
&SYSTEM
  ibrav = 0, nat = 4, ntyp = 3
/
ATOMIC_SPECIES
Ni 58.69 Ni.upf
Hg 200.59 Hg.upf
Pd 106.42 Pd.upf
ATOMIC_POSITIONS crystal
Ni 0.000 0.000 0.000
Hg 0.250 0.250 0.250
Hg 0.750 0.750 0.750
Pd 0.500 0.500 0.500
CELL_PARAMETERS angstrom
0.000 3.247 3.247
3.247 0.000 3.247
3.247 3.247 0.000
```

## Properties
D(E_F) = 0.56 states/eV/atom

Sorted by energy, starting with the most stable: 2, 1, 3.

## 1
# NiHgPd3

An optimized crystal structure of NiHgPd3 (PBE, the Alexandria database). Values from VASP.

```
&SYSTEM
  ibrav = 0, nat = 10, ntyp = 3
/
ATOMIC_SPECIES
Ni 58.69 Ni.upf
Hg 200.59 Hg.upf
Pd 106.42 Pd.upf
ATOMIC_POSITIONS crystal
Ni 0.000 0.000 0.000
Ni 0.500 0.000 0.000
Hg 0.250 0.000 0.416
Hg 0.750 0.000 0.584
Pd 0.062 0.500 0.701
Pd 0.250 0.500 0.062
Pd 0.438 0.500 0.701
Pd 0.562 0.500 0.299
Pd 0.750 0.500 0.938
Pd 0.938 0.500 0.299
CELL_PARAMETERS angstrom
7.870 0.000 0.000
0.000 3.026 0.000
0.000 0.000 6.787
```

## Properties
D(E_F) = 1.10 states/eV/atom

## 2
# NiHgPd3

An optimized crystal structure of NiHgPd3 (PBE, the Alexandria database). Values from VASP.

```
&SYSTEM
  ibrav = 0, nat = 5, ntyp = 3
/
ATOMIC_SPECIES
Ni 58.69 Ni.upf
Hg 200.59 Hg.upf
Pd 106.42 Pd.upf
ATOMIC_POSITIONS crystal
Ni 0.000 0.000 0.000
Hg 0.500 0.500 0.500
Pd 0.000 0.000 0.500
Pd 0.000 0.500 0.000
Pd 0.500 0.000 0.000
CELL_PARAMETERS angstrom
4.606 0.000 0.000
0.000 4.606 0.000
0.000 0.000 4.606
```

## Properties
D(E_F) = 1.74 states/eV/atom

Sorted by energy, starting with the most stable: 1, 2.